Record 1
Mn2NiIr2: relaxed, PBE.

It has space group P4/mbm (No. 127), with a = 7.0495 Å, b = 7.0495 Å, c = 2.6510 Å, α = 90.00°, β = 90.00° and γ = 90.00°. The distinct sites, in fractional coordinates, are Mn at (0.1195, 0.3805, 0.0000), Ni at (0.0000, 0.0000, 0.0000) and Ir at (0.1725, 0.6725, 0.5000).

The calculated density comes out at 13.9 Mg/m³. As for the energy of formation from the pure elements: 0.151 eV per atom. As for the energy above the most stable polymorph in this dataset: 0 kJ/mol of formula units.

---

Record 2
AcMgZn2Ga4: relaxed, PBE.

It has space group R-3m (No. 166, hexagonal axes), with a = 4.4490 Å, b = 4.4490 Å, c = 30.0120 Å, α = 90.00°, β = 90.00° and γ = 120.00°. The distinct sites, in fractional coordinates, are Ac at (0.0000, 0.0000, 0.0000), Mg at (0.0000, 0.0000, 0.5000), Zn at (0.0000, 0.0000, 0.2567), Ga at (0.0000, 0.0000, 0.1208) and Ga at (0.0000, 0.0000, 0.4032).

The calculated density comes out at 6.4 Mg/m³. As for the energy of formation from the pure elements: -0.226 eV per atom.

---

Record 3
CaTlRh: relaxed, PBE.

It has space group I4mm (No. 107), with a = 3.5223 Å, b = 3.5223 Å, c = 10.6986 Å, α = 90.00°, β = 90.00° and γ = 90.00°. The distinct sites, in fractional coordinates, are Ca at (0.0000, 0.0000, 0.0000), Tl at (0.0000, 0.0000, 0.7039) and Rh at (0.0000, 0.0000, 0.3374).

The calculated density comes out at 8.7 Mg/m³. As for the energy of formation from the pure elements: -0.253 eV per atom.

---

Record 4
Tb8Y2Pu: relaxed, PBE.

It has space group C2/m (No. 12), with a = 11.0217 Å, b = 6.9289 Å, c = 10.8698 Å, α = 90.00°, β = 120.46° and γ = 90.00°. The distinct sites, in fractional coordinates, are Tb at (0.0547, 0.0000, 0.3743), Tb at (0.1237, 0.5000, 0.9419), Tb at (0.2445, 0.2522, 0.7332), Y at (0.0909, 0.5000, 0.4163) and Pu at (0.0000, 0.0000, 0.0000).

The calculated density comes out at 7.9 Mg/m³. As for the energy of formation from the pure elements: 0.167 eV per atom.

---

Record 5
KFeNiAs2: relaxed, PBE.

It has space group P4/mmm (No. 123), with a = 4.7173 Å, b = 4.7173 Å, c = 4.7813 Å, α = 90.00°, β = 90.00° and γ = 90.00°. The distinct sites, in fractional coordinates, are K at (0.0000, 0.0000, 0.0000), Fe at (0.5000, 0.5000, 0.0000), Ni at (0.5000, 0.5000, 0.5000) and As at (0.0000, 0.5000, 0.5000).

The calculated density comes out at 4.7 Mg/m³. As for the energy of formation from the pure elements: 0.403 eV per atom.

---

Record 6
Ba2ErZn2CuO7: relaxed, PBE.

It has space group Pmmm (No. 47), with a = 3.9003 Å, b = 3.9941 Å, c = 11.6052 Å, α = 90.00°, β = 90.00° and γ = 90.00°. The distinct sites, in fractional coordinates, are Ba at (0.0000, 0.0000, 0.1805), Er at (0.0000, 0.0000, 0.5000), Zn at (0.5000, 0.5000, 0.3430), Cu at (0.5000, 0.5000, 0.0000), O at (0.0000, 0.5000, 0.3804), O at (0.5000, 0.0000, 0.0000), O at (0.5000, 0.0000, 0.3796) and O at (0.5000, 0.5000, 0.1623).

The calculated density comes out at 6.9 Mg/m³.

---

Record 7
KTlP3: relaxed, PBE.

It has space group Pm-3m (No. 221), with a = 5.2878 Å, b = 5.2878 Å, c = 5.2878 Å, α = 90.00°, β = 90.00° and γ = 90.00°. The distinct sites, in fractional coordinates, are K at (0.0000, 0.0000, 0.0000), Tl at (0.5000, 0.5000, 0.5000) and P at (0.0000, 0.5000, 0.5000).

The calculated density comes out at 3.8 Mg/m³. As for the energy of formation from the pure elements: 0.916 eV per atom. As for the energy above the most stable polymorph in this dataset: 0 kJ/mol of formula units.

---

Record 8
Tl3Ag2RhBr9: relaxed, PBE.

It has space group P-3m1 (No. 164), with a = 7.6184 Å, b = 7.6184 Å, c = 9.1409 Å, α = 90.00°, β = 90.00° and γ = 120.00°. The distinct sites, in fractional coordinates, are Tl at (0.0000, 0.0000, 0.0000), Tl at (0.3333, 0.6667, 0.7046), Ag at (0.3333, 0.6667, 0.1755), Rh at (0.0000, 0.0000, 0.5000), Br at (0.0000, 0.5000, 0.0000) and Br at (0.1544, 0.3089, 0.3371).

The calculated density comes out at 6.0 Mg/m³.

---

Record 9
RbCrSe2N: relaxed, PBE.

It has space group P4/mmm (No. 123), with a = 5.2917 Å, b = 5.2917 Å, c = 3.6002 Å, α = 90.00°, β = 90.00° and γ = 90.00°. The distinct sites, in fractional coordinates, are Rb at (0.0000, 0.0000, 0.0000), Cr at (0.5000, 0.5000, 0.5000), Se at (0.0000, 0.5000, 0.5000) and N at (0.5000, 0.5000, 0.0000).

The calculated density comes out at 5.1 Mg/m³. As for the energy above the most stable polymorph in this dataset: 0 kJ/mol of formula units.

---

Record 10
PrSm3Er2Tm6: relaxed, PBE.

It has space group C2/m (No. 12), with a = 6.0160 Å, b = 10.4128 Å, c = 12.5256 Å, α = 90.00°, β = 99.18° and γ = 90.00°. The distinct sites, in fractional coordinates, are Pr at (0.0000, 0.0000, 0.0000), Sm at (0.0000, 0.1663, 0.5000), Sm at (0.0000, 0.5000, 0.5000), Er at (0.0000, 0.3333, 0.0000), Tm at (0.0904, 0.0000, 0.2696) and Tm at (0.0898, 0.3332, 0.2689).

The calculated density comes out at 8.3 Mg/m³. As for the energy of formation from the pure elements: 0.202 eV per atom.

---

Number 1: density of states at the Fermi level 1.272 states/eV/atom, uncorrected energy -8.218 eV/atom. Number 2: density of states at the Fermi level 0.355 states/eV/atom, uncorrected energy -2.770 eV/atom. Number 3: density of states at the Fermi level 0.687 states/eV/atom, uncorrected energy -4.159 eV/atom. Number 4: density of states at the Fermi level 1.723 states/eV/atom, uncorrected energy -5.679 eV/atom. Number 5: density of states at the Fermi level 1.228 states/eV/atom, uncorrected energy -4.525 eV/atom. Number 6: density of states at the Fermi level 0.257 states/eV/atom, uncorrected energy -5.834 eV/atom. Number 7: density of states at the Fermi level 1.370 states/eV/atom, uncorrected energy -3.022 eV/atom. Number 8: density of states at the Fermi level 1.037 states/eV/atom, uncorrected energy -2.838 eV/atom. Number 9: density of states at the Fermi level 1.268 states/eV/atom, uncorrected energy -5.219 eV/atom. Number 10: density of states at the Fermi level 1.810 states/eV/atom, uncorrected energy -4.372 eV/atom.